Compound: Ho4TmMg7
Source: Alexandria via LeMat-Bulk
Functional: GGA-PBE
Structure: optimized geometry

Unit cell a=5.276 b=5.276 c=13.154 alpha=90.00 beta=90.00 gamma=120.00
Fractional positions:
Mg (0.000, 0.000, 0.000)
Tm (0.000, 0.000, 0.500)
Mg (0.667, 0.333, 0.818)
Ho (0.333, 0.667, 0.660)
Mg (0.333, 0.667, 0.182)
Mg (0.000, 0.000, 0.761)
Ho (0.333, 0.667, 0.921)
Mg (0.333, 0.667, 0.417)
Mg (0.667, 0.333, 0.583)
Ho (0.667, 0.333, 0.340)
Mg (0.000, 0.000, 0.239)
Ho (0.667, 0.333, 0.079)

Formation energy: -0.019 eV/atom
Symmetry: P-3m1 (164)
Total DFT energy (no corrections): -2.85 eV per atom
Fermi-level density of states: 12.7 states/eV per cell
ρ: 5.230 Mg/m³

---

Compound: Ho3TmMg12
Source: Alexandria via LeMat-Bulk
Functional: GGA-PBE
Structure: optimized geometry

Unit cell a=4.610 b=4.610 c=18.918 alpha=90.00 beta=90.00 gamma=90.00
Fractional positions:
Mg (0.500, 0.000, 0.124)
Ho (0.000, 0.000, 0.249)
Mg (0.500, 0.000, 0.375)
Mg (0.000, 0.500, 0.124)
Mg (0.000, 0.500, 0.375)
Mg (0.500, 0.000, 0.625)
Mg (0.500, 0.500, 0.751)
Mg (0.500, 0.500, 0.000)
Mg (0.500, 0.000, 0.876)
Ho (0.000, 0.000, 0.751)
Mg (0.000, 0.500, 0.876)
Ho (0.000, 0.000, 0.500)
Mg (0.000, 0.500, 0.625)
Mg (0.500, 0.500, 0.500)
Tm (0.000, 0.000, 0.000)
Mg (0.500, 0.500, 0.249)

Formation energy: -0.051 eV/atom
Symmetry: P4/mmm (123)
Total DFT energy (no corrections): -2.39 eV per atom
Fermi-level density of states: 12.0 states/eV per cell
ρ: 3.946 Mg/m³

---

Compound: Ho2TmMg6
Source: Alexandria via LeMat-Bulk
Functional: GGA-PBE
Structure: optimized geometry

Unit cell a=3.275 b=9.023 c=11.135 alpha=113.90 beta=125.75 gamma=90.00
Fractional positions:
Mg (0.500, 0.668, 0.000)
Mg (0.835, 0.000, 0.667)
Ho (0.334, 0.333, 0.667)
Mg (0.165, 0.333, 0.333)
Tm (0.000, 0.000, 0.000)
Mg (0.835, 0.667, 0.667)
Mg (0.500, 0.332, 0.000)
Ho (0.666, 0.667, 0.333)
Mg (0.165, 0.000, 0.333)

Formation energy: -0.059 eV/atom
Symmetry: C2/m (12)
Total DFT energy (no corrections): -2.64 eV per atom
Fermi-level density of states: 7.7 states/eV per cell
ρ: 4.627 Mg/m³

---

What did the second record say?
Compound: Ho3TmMg12
Source: Alexandria via LeMat-Bulk
Functional: GGA-PBE
Structure: optimized geometry

Unit cell a=4.610 b=4.610 c=18.918 alpha=90.00 beta=90.00 gamma=90.00
Fractional positions:
Mg (0.500, 0.000, 0.124)
Ho (0.000, 0.000, 0.249)
Mg (0.500, 0.000, 0.375)
Mg (0.000, 0.500, 0.124)
Mg (0.000, 0.500, 0.375)
Mg (0.500, 0.000, 0.625)
Mg (0.500, 0.500, 0.751)
Mg (0.500, 0.500, 0.000)
Mg (0.500, 0.000, 0.876)
Ho (0.000, 0.000, 0.751)
Mg (0.000, 0.500, 0.876)
Ho (0.000, 0.000, 0.500)
Mg (0.000, 0.500, 0.625)
Mg (0.500, 0.500, 0.500)
Tm (0.000, 0.000, 0.000)
Mg (0.500, 0.500, 0.249)

Formation energy: -0.051 eV/atom
Symmetry: P4/mmm (123)
Total DFT energy (no corrections): -2.39 eV per atom
Fermi-level density of states: 12.0 states/eV per cell
ρ: 3.946 Mg/m³